Entry 1:
First-principles (PBE) data for a geometry-optimized Co2WAu structure, as listed in Alexandria via LeMat-Bulk.

a = 6.651 Å, b = 6.651 Å, c = 5.432 Å
α = 90.00°, β = 90.00°, γ = 90.00°
Space group I-42d (No. 122)
Symmetry-distinct sites (fractional):
Co 0.219 0.250 0.125
W 0.000 0.000 0.000
Au 0.000 0.000 0.500

## Properties
energy above the lowest structure with this stoichiometry	476	meV per atom
energy relative to the elements	631	meV per atom
magnetization	0.00	μB/cell
DOS(E_F)	1.08	states/eV per atom

=====

Entry 2:
First-principles (PBE) data for a geometry-optimized Zr6CdFe2 structure, as listed in Alexandria via LeMat-Bulk.

a = 8.486 Å, b = 8.867 Å, c = 9.738 Å
α = 90.00°, β = 90.00°, γ = 90.00°
Space group Immm (No. 71)
Symmetry-distinct sites (fractional):
Zr 0.000 0.209 0.233
Zr 0.193 0.500 0.176
Zr 0.200 0.313 0.500
Cd 0.000 0.000 0.000
Cd 0.000 0.000 0.500
Fe 0.000 0.335 0.000
Fe 0.000 0.500 0.369

## Properties
energy relative to the elements	-86	meV per atom
magnetization	0.00	μB/cell
DOS(E_F)	0.90	states/eV per atom

=====

Entry 3:
First-principles (PBE) data for a geometry-optimized TlAgPdBr5 structure, as listed in Alexandria via LeMat-Bulk.

a = 9.687 Å, b = 11.240 Å, c = 10.588 Å
α = 90.00°, β = 114.08°, γ = 90.00°
Space group C2/c (No. 15)
Symmetry-distinct sites (fractional):
Tl 0.000 0.079 0.250
Ag 0.000 0.495 0.750
Pd 0.250 0.250 0.000
Br 0.000 0.235 0.750
Br 0.075 0.320 0.109
Br 0.218 0.040 0.061

## Properties
magnetization	0.00	μB/cell
raw formation energy	-425	meV per atom

=====

Entry 4:
First-principles (PBE) data for a geometry-optimized Sm2HoSc2In5 structure, as listed in Alexandria via LeMat-Bulk.

a = 10.595 Å, b = 10.595 Å, c = 4.660 Å
α = 90.00°, β = 90.00°, γ = 90.00°
Space group P4/mbm (No. 127)
Symmetry-distinct sites (fractional):
Sm 0.179 0.321 0.000
Ho 0.000 0.000 0.000
Sc 0.119 0.619 0.000
In 0.000 0.500 0.500
In 0.064 0.798 0.500

## Properties
energy relative to the elements	-357	meV per atom
magnetization	0.00	μB/cell
DOS(E_F)	0.71	states/eV per atom

=====

Entry 5:
First-principles (PBE) data for a geometry-optimized TlZnP2 structure, as listed in Alexandria via LeMat-Bulk.

a = 3.256 Å, b = 5.725 Å, c = 9.650 Å
α = 90.00°, β = 90.00°, γ = 90.00°
Space group Imm2 (No. 44)
Symmetry-distinct sites (fractional):
Tl 0.000 0.000 0.000
Zn 0.000 0.500 0.788
P 0.000 0.000 0.531
P 0.000 0.500 0.182

## Properties
energy above the lowest structure with this stoichiometry	105	meV per atom
energy relative to the elements	212	meV per atom
magnetization	0.00	μB/cell
DOS(E_F)	0.19	states/eV per atom

=====

Entry 6:
First-principles (PBE) data for a geometry-optimized Sn3AsRu structure, as listed in Alexandria via LeMat-Bulk.

a = 5.280 Å, b = 5.280 Å, c = 5.280 Å
α = 90.00°, β = 90.00°, γ = 90.00°
Space group Pm-3m (No. 221)
Symmetry-distinct sites (fractional):
Sn 0.000 0.000 0.500
As 0.000 0.000 0.000
Ru 0.500 0.500 0.500

## Properties
energy above the lowest structure with this stoichiometry	996	meV per atom
energy relative to the elements	1198	meV per atom
magnetization	1.90	μB/cell
DOS(E_F)	0.86	states/eV per atom